RbZn3Ru | PBE | optimized geometry

a b c (Å): 6.2388 6.2388 6.2388
angles (deg): 90.00 90.00 90.00
Last column: nearest neighbours and their distance in Å.
Space group Pm-3m (No. 221)
Inequivalent atoms, fractional coordinates:
Rb 0.0000 0.0000 0.0000 [1 per cell]  6 Zn 3.12
Zn 0.0000 0.0000 0.5000 [3 per cell]  2 Rb 3.12
Ru 0.5000 0.5000 0.5000 [1 per cell]  12 Zn 4.41

Calculated values
The value obtained for the formation energy is 1.8327 eV per atom. Its energy above the most stable polymorph in this dataset is 1673.8 meV/atom.

=====

Tb2ZrAl | PBE | optimized geometry

a b c (Å): 3.4209 3.4209 8.7518
angles (deg): 90.00 90.00 90.00
Last column: nearest neighbours and their distance in Å.
Space group P4/mmm (No. 123)
Inequivalent atoms, fractional coordinates:
Tb 0.0000 0.0000 0.2308 [2 per cell]  4 Al 3.15, 4 Zr 3.38, 4 Tb 3.42
Zr 0.5000 0.5000 0.5000 [1 per cell]  8 Tb 3.38, 4 Zr 3.42
Al 0.5000 0.5000 0.0000 [1 per cell]  8 Tb 3.15, 4 Al 3.42

Calculated values
The value obtained for the formation energy is -0.1290 eV per atom. Its energy above the most stable polymorph in this dataset is 23.7 meV/atom.

=====

Ba2AgN2 | PBE | optimized geometry

a b c (Å): 7.4815 7.4815 3.8216
angles (deg): 90.00 90.00 90.00
Last column: nearest neighbours and their distance in Å.
Space group P4/mbm (No. 127)
Inequivalent atoms, fractional coordinates:
Ba 0.1539 0.3461 0.0000 [4 per cell]  6 N 2.76-3.02
Ag 0.0000 0.0000 0.5000 [2 per cell]  4 N 2.82
N 0.1585 0.6585 0.5000 [4 per cell]  6 Ba 2.76-3.02, 2 Ag 2.82

Calculated values
The calculation puts the uncorrected formation energy at 0.2383 eV/atom. Its energy above the most stable polymorph in this dataset is 264.9 meV/atom.

=====

Al2HgOs | PBE | optimized geometry

a b c (Å): 3.0758 3.0758 7.0430
angles (deg): 90.00 90.00 90.00
Last column: nearest neighbours and their distance in Å.
Space group P4/mmm (No. 123)
Inequivalent atoms, fractional coordinates:
Al 0.0000 0.0000 0.1986 [2 per cell]  4 Os 2.59, 1 Al 2.80
Hg 0.5000 0.5000 0.5000 [1 per cell]  8 Al 3.04, 4 Hg 3.08
Os 0.5000 0.5000 0.0000 [1 per cell]  8 Al 2.59

Calculated values
The value obtained for the formation energy is -0.1249 eV per atom.

=====

AlVCr | PBE | optimized geometry

a b c (Å): 3.0333 4.2053 6.3742
angles (deg): 90.00 101.90 90.00
Last column: nearest neighbours and their distance in Å.
Space group P2_1/m (No. 11)
Inequivalent atoms, fractional coordinates:
Al 0.2471 0.2500 0.4942 [2 per cell]  2 Cr 2.56-2.58, 4 Al 2.59, 2 V 2.66
V 0.0993 0.7500 0.1551 [2 per cell]  6 Cr 2.38-2.61, 2 Al 2.66
Cr 0.4008 0.7500 0.8381 [2 per cell]  6 V 2.38-2.61, 2 Al 2.56-2.58

Calculated values
The value obtained for the formation energy is -0.1037 eV per atom. Its energy above the most stable polymorph in this dataset is 87.7 meV/atom.

=====

ScNbS2N | PBE | optimized geometry

a b c (Å): 4.8183 4.8183 3.8946
angles (deg): 90.00 90.00 90.00
Last column: nearest neighbours and their distance in Å.
Space group P4/mmm (No. 123)
Inequivalent atoms, fractional coordinates:
Sc 0.0000 0.0000 0.0000 [1 per cell]  2 N 1.95
Nb 0.5000 0.5000 0.5000 [1 per cell]  8 S 3.10, 4 N 3.41
S 0.0000 0.5000 0.0000 [2 per cell]  2 Sc 2.41
N 0.0000 0.0000 0.5000 [1 per cell]  2 Sc 1.95

Calculated values
The calculation puts the uncorrected formation energy at 0.2139 eV/atom. Its energy above the most stable polymorph in this dataset is 812.6 meV/atom.

=====

In order of appearance, E_tot = -4.90, -22.07, -44.31, -19.52, -45.59, -31.91 eV per cell.